(1)
A relaxed LaFeAs2O8 crystal, computed with PBE with a Hubbard U.

## Properties
Crystal system: tetragonal
Space group: I-4m2, No. 119
Final energy: -79.8 eV/cell

a b c (Å): 5.991 5.991 5.991
angles (deg): 105.88 105.88 116.91
Fractional coordinates of all 12 atoms:
La 0.000 0.000 0.000
Fe 0.750 0.250 0.500
As 0.250 0.750 0.500
As 0.500 0.500 0.000
O 0.058 0.388 0.329
O 0.058 0.729 0.671
O 0.141 0.330 0.811
O 0.271 0.942 0.329
O 0.520 0.330 0.189
O 0.612 0.942 0.671
O 0.670 0.480 0.811
O 0.670 0.859 0.189


(2)
A relaxed LaFe2AsO crystal, computed with PBE with a Hubbard U.

## Properties
Crystal system: tetragonal
Space group: P4/mmm, No. 123
Final energy: -25.3 eV/cell

a b c (Å): 4.609 4.609 4.595
angles (deg): 90.00 90.00 90.00
Fractional coordinates of all 5 atoms:
La 0.000 0.000 0.000
Fe 0.000 0.500 0.500
Fe 0.500 0.000 0.500
As 0.500 0.500 0.500
O 0.500 0.500 0.000